# BaMn2CuSe4

A geometry-optimized BaMn2CuSe4 structure (PBE-GGA, Alexandria).

The structure in CIF format:
```
data_BaMn2CuSe4
_chemical_formula_sum 'Ba4 Mn8 Cu4 Se16'
_symmetry_space_group_name_H-M 'C m c m'
_symmetry_Int_Tables_number 63
_symmetry_space_group_name_Hall '-C 2c 2'
_cell_length_a 4.042
_cell_length_b 13.261
_cell_length_c 13.744
_cell_angle_alpha 90.00
_cell_angle_beta 90.00
_cell_angle_gamma 90.00
loop_
_atom_site_label
_atom_site_type_symbol
_atom_site_fract_x
_atom_site_fract_y
_atom_site_fract_z
Ba1 Ba 0.000 0.124 0.250
Mn1 Mn 0.000 0.372 0.062
Cu1 Cu 0.000 0.157 0.750
Se1 Se 0.000 0.000 0.000
Se2 Se 0.000 0.256 0.600
Se3 Se 0.000 0.438 0.250
```

Properties
E_tot (eV per atom): -5.5001
Calculated density (Mg/m³): 5.65
E_form (uncorrected) (kJ/mol of formula units): -550

# RbAu4

A geometry-optimized RbAu4 structure (PBE-GGA, Alexandria).

The structure in CIF format:
```
data_RbAu4
_chemical_formula_sum 'Rb1 Au4'
_symmetry_space_group_name_H-M 'P m -3 m'
_symmetry_Int_Tables_number 221
_symmetry_space_group_name_Hall '-P 4 2 3'
_cell_length_a 5.826
_cell_length_b 5.826
_cell_length_c 5.826
_cell_angle_alpha 90.00
_cell_angle_beta 90.00
_cell_angle_gamma 90.00
loop_
_atom_site_label
_atom_site_type_symbol
_atom_site_fract_x
_atom_site_fract_y
_atom_site_fract_z
Rb1 Rb 0.000 0.000 0.000
Au1 Au 0.000 0.000 0.500
Au2 Au 0.500 0.500 0.500
```

Properties
E_tot (eV per atom): -1.3197
Calculated formation energy (eV per atom): 1.496
Calculated density (Mg/m³): 7.33

# Sc3CdC

A geometry-optimized Sc3CdC structure (PBE-GGA, Alexandria).

The structure in CIF format:
```
data_Sc3CdC
_chemical_formula_sum 'Sc12 Cd4 C4'
_symmetry_space_group_name_H-M 'C 1 2/m 1'
_symmetry_Int_Tables_number 12
_symmetry_space_group_name_Hall '-C 2y'
_cell_length_a 10.835
_cell_length_b 6.606
_cell_length_c 5.632
_cell_angle_alpha 90.00
_cell_angle_beta 100.20
_cell_angle_gamma 90.00
loop_
_atom_site_label
_atom_site_type_symbol
_atom_site_fract_x
_atom_site_fract_y
_atom_site_fract_z
Sc1 Sc 0.083 0.229 0.280
Sc2 Sc 0.162 0.000 0.807
Cd1 Cd 0.151 0.500 0.733
C1 C 0.000 0.000 0.000
C2 C 0.000 0.000 0.500
```

Properties
ΔE to the lowest computed polymorph (kJ/mol of formula units): 29
E_tot (eV per atom): -6.2307
Calculated formation energy (eV per atom): -0.404
Calculated density (Mg/m³): 4.34

# Pm2Pr4Y7

A geometry-optimized Pm2Pr4Y7 structure (PBE-GGA, Alexandria).

The structure in CIF format:
```
data_Pm2Pr4Y7
_chemical_formula_sum 'Pm2 Pr4 Y7'
_symmetry_space_group_name_H-M 'P -1'
_symmetry_Int_Tables_number 2
_symmetry_space_group_name_Hall '-P 1'
_cell_length_a 6.282
_cell_length_b 6.293
_cell_length_c 11.453
_cell_angle_alpha 89.94
_cell_angle_beta 79.54
_cell_angle_gamma 80.41
loop_
_atom_site_label
_atom_site_type_symbol
_atom_site_fract_x
_atom_site_fract_y
_atom_site_fract_z
Pm1 Pm 0.153 0.310 0.385
Pr1 Pr 0.307 0.616 0.769
Pr2 Pr 0.461 0.924 0.155
Y1 Y 0.000 0.000 0.000
Y2 Y 0.077 0.154 0.691
Y3 Y 0.230 0.463 0.077
Y4 Y 0.385 0.770 0.462
```

Properties
E_tot (eV per atom): -5.6656
Calculated formation energy (eV per atom): 0.017
Calculated density (Mg/m³): 5.59

# LiEuP4O12

A geometry-optimized LiEuP4O12 structure (PBE-GGA, Alexandria).

The structure in CIF format:
```
data_LiEuP4O12
_chemical_formula_sum 'Li4 Eu4 P16 O48'
_symmetry_space_group_name_H-M 'C 1 2/c 1'
_symmetry_Int_Tables_number 15
_symmetry_space_group_name_Hall '-C 2yc'
_cell_length_a 16.681
_cell_length_b 7.199
_cell_length_c 9.908
_cell_angle_alpha 90.00
_cell_angle_beta 126.43
_cell_angle_gamma 90.00
loop_
_atom_site_label
_atom_site_type_symbol
_atom_site_fract_x
_atom_site_fract_y
_atom_site_fract_z
Li1 Li 0.000 0.202 0.250
Eu1 Eu 0.000 0.303 0.750
P1 P 0.138 0.057 0.161
P2 P 0.147 0.341 0.597
O1 O 0.067 0.009 0.203
O2 O 0.074 0.403 0.419
O3 O 0.114 0.215 0.045
O4 O 0.127 0.382 0.723
O5 O 0.159 0.120 0.587
O6 O 0.245 0.087 0.340
```

Properties
E_tot (eV per atom): -7.5169
Calculated density (Mg/m³): 3.29
E_form (uncorrected) (kJ/mol of formula units): -4050

# KMgAl2H8

A geometry-optimized KMgAl2H8 structure (PBE-GGA, Alexandria).

The structure in CIF format:
```
data_KMgAl2H8
_chemical_formula_sum 'K3 Mg3 Al6 H24'
_symmetry_space_group_name_H-M 'R -3'
_symmetry_Int_Tables_number 148
_symmetry_space_group_name_Hall '-R 3'
_cell_length_a 4.9268
_cell_length_b 4.9268
_cell_length_c 21.2081
_cell_angle_alpha 90.00
_cell_angle_beta 90.00
_cell_angle_gamma 120.00
loop_
_atom_site_label
_atom_site_type_symbol
_atom_site_fract_x
_atom_site_fract_y
_atom_site_fract_z
K1 K 0.0000 0.0000 0.0000
Mg1 Mg 0.0000 0.0000 0.5000
Al1 Al 0.0000 0.0000 0.2343
H1 H 0.0000 0.0000 0.3116
H2 H 0.0000 0.3387 0.4501
```

Properties
E_tot (eV per atom): -3.1050
Calculated density (Mg/m³): 1.40

# SrScGa

A geometry-optimized SrScGa structure (PBE-GGA, Alexandria).

The structure in CIF format:
```
data_SrScGa
_chemical_formula_sum 'Sr2 Sc2 Ga2'
_symmetry_space_group_name_H-M 'P 4/n m m'
_symmetry_Int_Tables_number 129
_cell_length_a 4.976
_cell_length_b 4.976
_cell_length_c 7.745
_cell_angle_alpha 90.00
_cell_angle_beta 90.00
_cell_angle_gamma 90.00
loop_
_symmetry_equiv_pos_as_xyz
'x,y,z'
'-x,-y,-z'
'-y+1/2,x,z'
'y+1/2,-x,-z'
'-x+1/2,-y+1/2,z'
'x+1/2,y+1/2,-z'
'y,-x+1/2,z'
'-y,x+1/2,-z'
'x+1/2,-y,-z'
'-x+1/2,y,z'
'-y,-x,-z'
'y,x,z'
'-x,y+1/2,-z'
'x,-y+1/2,z'
'y+1/2,x+1/2,-z'
'-y+1/2,-x+1/2,z'
loop_
_atom_site_label
_atom_site_type_symbol
_atom_site_fract_x
_atom_site_fract_y
_atom_site_fract_z
Sr1 Sr 0.250 0.250 0.178
Sc1 Sc 0.250 0.250 0.644
Ga1 Ga 0.250 0.750 0.500
```

Properties
ΔE to the lowest computed polymorph (kJ/mol of formula units): 55
E_tot (eV per atom): -3.8744
Calculated formation energy (eV per atom): -0.194
Calculated density (Mg/m³): 3.50

# Li2TbTl

A geometry-optimized Li2TbTl structure (PBE-GGA, Alexandria).

The structure in CIF format:
```
data_Li2TbTl
_chemical_formula_sum 'Li2 Tb1 Tl1'
_symmetry_space_group_name_H-M 'P 4/m m m'
_symmetry_Int_Tables_number 123
_symmetry_space_group_name_Hall '-P 4 2'
_cell_length_a 4.566
_cell_length_b 4.566
_cell_length_c 4.538
_cell_angle_alpha 90.00
_cell_angle_beta 90.00
_cell_angle_gamma 90.00
loop_
_atom_site_label
_atom_site_type_symbol
_atom_site_fract_x
_atom_site_fract_y
_atom_site_fract_z
Li1 Li 0.000 0.500 0.000
Tb1 Tb 0.000 0.000 0.500
Tl1 Tl 0.500 0.500 0.500
```

Properties
E_tot (eV per atom): -2.7943
Calculated formation energy (eV per atom): -0.088
Calculated density (Mg/m³): 6.62

# TmGaOs

A geometry-optimized TmGaOs structure (PBE-GGA, Alexandria).

The structure in CIF format:
```
data_TmGaOs
_chemical_formula_sum 'Tm4 Ga4 Os4'
_symmetry_space_group_name_H-M 'I m m a'
_symmetry_Int_Tables_number 74
_symmetry_space_group_name_Hall '-I 2b 2'
_cell_length_a 5.380
_cell_length_b 5.461
_cell_length_c 7.315
_cell_angle_alpha 90.00
_cell_angle_beta 90.00
_cell_angle_gamma 90.00
loop_
_atom_site_label
_atom_site_type_symbol
_atom_site_fract_x
_atom_site_fract_y
_atom_site_fract_z
Tm1 Tm 0.000 0.250 0.135
Ga1 Ga 0.250 0.250 0.750
Os1 Os 0.000 0.000 0.500
```

Properties
E_tot (eV per atom): -6.7014
Calculated formation energy (eV per atom): -0.459
Calculated density (Mg/m³): 13.26

# Pr2Sm6Y3Sc

A geometry-optimized Pr2Sm6Y3Sc structure (PBE-GGA, Alexandria).

The structure in CIF format:
```
data_Pr2Sm6Y3Sc
_chemical_formula_sum 'Pr4 Sm12 Y6 Sc2'
_symmetry_space_group_name_H-M 'C 1 2/m 1'
_symmetry_Int_Tables_number 12
_symmetry_space_group_name_Hall '-C 2y'
_cell_length_a 6.234
_cell_length_b 10.796
_cell_length_c 11.921
_cell_angle_alpha 90.00
_cell_angle_beta 100.04
_cell_angle_gamma 90.00
loop_
_atom_site_label
_atom_site_type_symbol
_atom_site_fract_x
_atom_site_fract_y
_atom_site_fract_z
Pr1 Pr 0.000 0.167 0.000
Sm1 Sm 0.247 0.500 0.749
Sm2 Sm 0.248 0.335 0.250
Y1 Y 0.000 0.000 0.500
Y2 Y 0.000 0.334 0.500
Sc1 Sc 0.000 0.500 0.000
```

Properties
E_tot (eV per atom): -5.2740
Calculated formation energy (eV per atom): 0.026
Calculated density (Mg/m³): 6.29